Computed, not measured: a relaxed NaCd3Au crystal at the PBE-GGA level of DFT.

**Energy of formation**: 0.59 eV per atom
**E**: -4.41 eV per cell

Unit cell a=5.5590 b=5.5590 c=5.5590 alpha=90.00 beta=90.00 gamma=90.00
Sites, in units of the cell vectors:
Cd1 0.5000 0.0000 0.0000
Cd2 0.0000 0.5000 0.0000
Cd3 0.0000 0.0000 0.5000
Na1 0.0000 0.0000 0.0000
Au1 0.5000 0.5000 0.5000